(1)
Crystalline TcPCl2F at its relaxed geometry, computed with GGA-PBE.

Unit cell a=4.706 b=4.706 c=4.579 alpha=90.00 beta=90.00 gamma=90.00
Element x y z (fractional)
Tc (0.000, 0.000, 0.000)
P (0.000, 0.000, 0.500)
Cl (0.000, 0.500, 0.000)
Cl (0.500, 0.000, 0.000)
F (0.500, 0.500, 0.500)

Computed properties:
energy relative to the lowest polymorph listed for this composition: 0.0 meV/atom
formation energy from raw total energies: -25 meV/atom
DFT total energy: -4.293 eV per atom


(2)
Crystalline LaAl2Br at its relaxed geometry, computed with GGA-PBE.

Unit cell a=3.651 b=4.661 c=5.894 alpha=90.00 beta=90.00 gamma=90.00
Element x y z (fractional)
La (0.000, 0.000, 0.000)
Al (0.000, 0.500, 0.500)
Al (0.500, 0.000, 0.500)
Br (0.500, 0.500, 0.000)

Computed properties:
energy relative to the lowest polymorph listed for this composition: 191.4 meV/atom
formation energy from raw total energies: -398 meV/atom
DFT total energy: -3.920 eV per atom


(3)
Crystalline Ti6GeRh5 at its relaxed geometry, computed with GGA-PBE.

Unit cell a=7.414 b=7.414 c=7.414 alpha=147.97 beta=122.17 gamma=67.66
Element x y z (fractional)
Ti (0.079, 0.333, 0.745)
Ti (0.243, 0.000, 0.243)
Ti (0.412, 0.667, 0.745)
Ti (0.588, 0.333, 0.255)
Ti (0.757, 0.000, 0.757)
Ti (0.921, 0.667, 0.255)
Ge (0.500, 0.500, 0.000)
Rh (0.000, 0.500, 0.500)
Rh (0.170, 0.170, 0.000)
Rh (0.337, 0.837, 0.500)
Rh (0.663, 0.163, 0.500)
Rh (0.830, 0.830, 0.000)

Computed properties:
DFT total energy: -8.086 eV per atom
energy relative to the elements: -15.9 kcal/mol of atoms


(4)
Crystalline YLu2Ge at its relaxed geometry, computed with GGA-PBE.

Unit cell a=11.499 b=11.499 c=11.499 alpha=17.18 beta=17.18 gamma=17.18
Element x y z (fractional)
Y (0.000, 0.000, 0.000)
Lu (0.416, 0.416, 0.416)
Lu (0.584, 0.584, 0.584)
Ge (0.500, 0.500, 0.500)

Computed properties:
DFT total energy: -4.878 eV per atom
energy relative to the elements: 3.5 kcal/mol of atoms


(5)
Crystalline La5TbZn6 at its relaxed geometry, computed with GGA-PBE.

Unit cell a=5.265 b=7.469 c=8.349 alpha=90.00 beta=108.26 gamma=90.00
Element x y z (fractional)
La (0.000, 0.000, 0.000)
La (0.330, 0.000, 0.660)
La (0.334, 0.500, 0.667)
La (0.666, 0.500, 0.333)
La (0.670, 0.000, 0.340)
Tb (0.000, 0.500, 0.000)
Zn (0.162, 0.257, 0.323)
Zn (0.162, 0.743, 0.323)
Zn (0.500, 0.260, 0.000)
Zn (0.500, 0.740, 0.000)
Zn (0.838, 0.257, 0.677)
Zn (0.838, 0.743, 0.677)

Computed properties:
DFT total energy: -3.388 eV per atom
energy relative to the elements: -7.2 kcal/mol of atoms


(6)
Crystalline Cd5Au at its relaxed geometry, computed with GGA-PBE.

Unit cell a=5.496 b=5.496 c=5.465 alpha=90.00 beta=90.00 gamma=120.00
Element x y z (fractional)
Cd (0.000, 0.500, 0.000)
Cd (0.333, 0.667, 0.500)
Cd (0.500, 0.000, 0.000)
Cd (0.500, 0.500, 0.000)
Cd (0.667, 0.333, 0.500)
Au (0.000, 0.000, 0.500)

Computed properties:
energy relative to the lowest polymorph listed for this composition: 229.9 meV/atom
DFT total energy: -1.148 eV per atom
energy relative to the elements: 3.7 kcal/mol of atoms